# 1
A plane-wave DFT calculation with GGA-PBE was carried out for FeTcSeN2 after structural relaxation.

Lattice parameters (Å, degrees): 3.621 3.621 5.145 90.00 90.00 90.00
Space group P4/mmm (No. 123)
Unique sites:
1 Fe 0.000 0.000 0.000 [1 per cell]
2 Tc 0.500 0.500 0.500 [1 per cell]
3 Se 0.000 0.000 0.500 [1 per cell]
4 N 0.000 0.500 0.000 [2 per cell]

Summary:
mass density	6.42	g/cm³
energy relative to the elements, uncorrected	1.12	eV per atom
D(E_F)	1.150	states/eV/atom



# 2
A plane-wave DFT calculation with GGA-PBE was carried out for Th6BiTe3As2 after structural relaxation.

Lattice parameters (Å, degrees): 19.360 4.389 8.902 90.00 103.61 90.00
Space group C2/m (No. 12)
Unique sites:
1 Th 0.016 0.000 0.264 [4 per cell]
2 Th 0.172 0.500 0.112 [4 per cell]
3 Th 0.172 0.500 0.566 [4 per cell]
4 Bi 0.000 0.500 0.000 [2 per cell]
5 Te 0.000 0.500 0.500 [2 per cell]
6 Te 0.158 0.000 0.833 [4 per cell]
7 As 0.172 0.000 0.338 [4 per cell]

Summary:
mass density	9.64	g/cm³
energy relative to the elements, uncorrected	-1.08	eV per atom
D(E_F)	0.851	states/eV/atom



# 3
A plane-wave DFT calculation with GGA-PBE was carried out for KCe2ReO8 after structural relaxation.

Lattice parameters (Å, degrees): 5.083 7.171 5.115 90.00 91.17 90.00
Space group P2/m (No. 10)
Unique sites:
1 K 0.000 0.000 0.000 [1 per cell]
2 Ce 0.500 0.245 0.500 [2 per cell]
3 Re 0.000 0.500 0.000 [1 per cell]
4 O 0.190 0.315 0.184 [4 per cell]
5 O 0.266 0.500 0.729 [2 per cell]
6 O 0.325 0.000 0.659 [2 per cell]

Summary:
mass density	5.64	g/cm³
energy relative to the elements, uncorrected	-2.40	eV per atom



# 4
A plane-wave DFT calculation with GGA-PBE was carried out for NpTl3Cr2Te6 after structural relaxation.

Lattice parameters (Å, degrees): 7.292 12.537 8.537 90.00 106.77 90.00
Space group C2/m (No. 12)
Unique sites:
1 Np 0.000 0.000 0.000 [2 per cell]
2 Tl 0.000 0.155 0.500 [4 per cell]
3 Tl 0.000 0.500 0.500 [2 per cell]
4 Cr 0.000 0.332 0.000 [4 per cell]
5 Te 0.201 0.500 0.190 [4 per cell]
6 Te 0.248 0.181 0.198 [8 per cell]

Summary:
mass density	7.64	g/cm³
energy relative to the elements, uncorrected	-0.31	eV per atom
D(E_F)	0.662	states/eV/atom



# 5
A plane-wave DFT calculation with GGA-PBE was carried out for HoErLuHg after structural relaxation.

Lattice parameters (Å, degrees): 7.562 7.562 7.562 90.00 90.00 90.00
Space group F-43m (No. 216)
Unique sites:
1 Ho 0.000 0.000 0.000 [4 per cell]
2 Er 0.000 0.000 0.500 [4 per cell]
3 Lu 0.250 0.250 0.250 [4 per cell]
4 Hg 0.250 0.250 0.750 [4 per cell]

Summary:
energy relative to the elements	-5.1	kJ per mole of atoms
mass density	10.87	g/cm³
D(E_F)	1.310	states/eV/atom



# 6
A plane-wave DFT calculation with GGA-PBE was carried out for Se4Cl5 after structural relaxation.

Lattice parameters (Å, degrees): 10.441 10.441 3.520 90.00 90.00 90.00
Space group I4/mmm (No. 139)
Unique sites:
1 Se 0.000 0.351 0.000 [8 per cell]
2 Cl 0.000 0.000 0.000 [2 per cell]
3 Cl 0.163 0.163 0.500 [8 per cell]

Summary:
mass density	4.27	g/cm³
energy relative to the elements, uncorrected	0.55	eV per atom
D(E_F)	0.987	states/eV/atom